Entry w
A relaxed Pu4PtRh3 crystal, computed with GGA-PBE.

```
data_Pu4PtRh3
_chemical_formula_sum 'Pu4 Pt1 Rh3'
_space_group_name_H-M_alt 'P 1'
_space_group_IT_number 1
_cell_length_a 5.972
_cell_length_b 5.972
_cell_length_c 5.972
_cell_angle_alpha 109.47
_cell_angle_beta 109.47
_cell_angle_gamma 109.47
loop_
_space_group_symop_operation_xyz
'x,y,z'
loop_
_atom_site_label
_atom_site_type_symbol
_atom_site_fract_x
_atom_site_fract_y
_atom_site_fract_z
Rh1 Rh 0.000 0.500 0.500
Rh2 Rh 0.500 0.000 0.500
Rh3 Rh 0.500 0.500 0.000
Pt1 Pt 0.000 0.000 0.000
Pu1 Pu 0.000 0.000 0.500
Pu2 Pu 0.500 0.500 0.500
Pu3 Pu 0.500 0.000 0.000
Pu4 Pu 0.000 0.500 0.000
```

Entry x
A relaxed Pu4PtRh3 crystal, computed with GGA-PBE.

```
data_Pu4PtRh3
_chemical_formula_sum 'Pu4 Pt1 Rh3'
_space_group_name_H-M_alt 'P 1'
_space_group_IT_number 1
_cell_length_a 5.653
_cell_length_b 5.653
_cell_length_c 5.653
_cell_angle_alpha 90.00
_cell_angle_beta 90.00
_cell_angle_gamma 90.00
loop_
_space_group_symop_operation_xyz
'x,y,z'
loop_
_atom_site_label
_atom_site_type_symbol
_atom_site_fract_x
_atom_site_fract_y
_atom_site_fract_z
Pu1 Pu 0.500 0.000 0.000
Pu2 Pu 0.000 0.500 0.000
Pu3 Pu 0.000 0.000 0.500
Pu4 Pu 0.500 0.500 0.500
Pt1 Pt 0.000 0.000 0.000
Rh1 Rh 0.000 0.500 0.500
Rh2 Rh 0.500 0.000 0.500
Rh3 Rh 0.500 0.500 0.000
```

The relative energies come out as entry w 0.0; entry x 7.1, with values in kJ/mol of atoms.

Entry w
A relaxed PuPtRh crystal, computed with GGA-PBE.

```
data_PuPtRh
_chemical_formula_sum 'Pu2 Pt2 Rh2'
_space_group_name_H-M_alt 'P 1'
_space_group_IT_number 1
_cell_length_a 4.587
_cell_length_b 5.186
_cell_length_c 5.218
_cell_angle_alpha 116.38
_cell_angle_beta 90.00
_cell_angle_gamma 90.00
loop_
_space_group_symop_operation_xyz
'x,y,z'
loop_
_atom_site_label
_atom_site_type_symbol
_atom_site_fract_x
_atom_site_fract_y
_atom_site_fract_z
Pu1 Pu 0.752 0.532 0.218
Pu2 Pu 0.252 0.476 0.785
Pt1 Pt 0.752 0.881 0.844
Pt2 Pt 0.252 0.127 0.160
Rh1 Rh 0.752 0.141 0.461
Rh2 Rh 0.252 0.867 0.543
```

Entry x
A relaxed PuPtRh crystal, computed with GGA-PBE.

```
data_PuPtRh
_chemical_formula_sum 'Pu1 Pt1 Rh1'
_space_group_name_H-M_alt 'P 1'
_space_group_IT_number 1
_cell_length_a 3.564
_cell_length_b 3.564
_cell_length_c 5.093
_cell_angle_alpha 110.48
_cell_angle_beta 110.48
_cell_angle_gamma 90.00
loop_
_space_group_symop_operation_xyz
'x,y,z'
loop_
_atom_site_label
_atom_site_type_symbol
_atom_site_fract_x
_atom_site_fract_y
_atom_site_fract_z
Rh1 Rh 0.281 0.281 0.563
Pt1 Pt 0.949 0.949 0.899
Pu1 Pu 0.619 0.619 0.238
```

The relative energies come out as entry w 0.0; entry x 10.5, with values in kJ/mol of atoms.

Entry w
A relaxed PuPtRh crystal, computed with GGA-PBE.

```
data_PuPtRh
_chemical_formula_sum 'Pu2 Pt2 Rh2'
_space_group_name_H-M_alt 'P 1'
_space_group_IT_number 1
_cell_length_a 5.394
_cell_length_b 5.394
_cell_length_c 5.394
_cell_angle_alpha 89.93
_cell_angle_beta 119.80
_cell_angle_gamma 120.29
loop_
_space_group_symop_operation_xyz
'x,y,z'
loop_
_atom_site_label
_atom_site_type_symbol
_atom_site_fract_x
_atom_site_fract_y
_atom_site_fract_z
Pu1 Pu 0.250 0.127 0.877
Pu2 Pu 0.750 0.873 0.123
Pt1 Pt 0.000 0.500 0.500
Pt2 Pt 0.500 0.000 0.500
Rh1 Rh 0.500 0.500 0.500
Rh2 Rh 0.000 0.500 0.000
```

Entry x
A relaxed PuPtRh crystal, computed with GGA-PBE.

```
data_PuPtRh
_chemical_formula_sum 'Pu1 Pt1 Rh1'
_space_group_name_H-M_alt 'P 1'
_space_group_IT_number 1
_cell_length_a 3.668
_cell_length_b 4.386
_cell_length_c 4.386
_cell_angle_alpha 120.00
_cell_angle_beta 90.00
_cell_angle_gamma 90.00
loop_
_space_group_symop_operation_xyz
'x,y,z'
loop_
_atom_site_label
_atom_site_type_symbol
_atom_site_fract_x
_atom_site_fract_y
_atom_site_fract_z
Rh1 Rh 0.167 0.333 0.667
Pt1 Pt 0.167 0.000 0.000
Pu1 Pu 0.667 0.667 0.333
```

The relative energies come out as entry w 0.0; entry x 19.6, with values in kJ/mol of atoms.

Entry w
A relaxed Pu6PtRh2 crystal, computed with GGA-PBE.

```
data_Pu6PtRh2
_chemical_formula_sum 'Pu6 Pt1 Rh2'
_space_group_name_H-M_alt 'P 1'
_space_group_IT_number 1
_cell_length_a 5.033
_cell_length_b 5.053
_cell_length_c 8.622
_cell_angle_alpha 90.11
_cell_angle_beta 90.00
_cell_angle_gamma 119.87
loop_
_space_group_symop_operation_xyz
'x,y,z'
loop_
_atom_site_label
_atom_site_type_symbol
_atom_site_fract_x
_atom_site_fract_y
_atom_site_fract_z
Pu1 Pu 0.333 0.666 0.898
Pu2 Pu 0.667 0.334 0.102
Pu3 Pu 0.000 0.001 0.181
Pu4 Pu 0.667 0.334 0.413
Pu5 Pu 0.000 0.999 0.819
Pu6 Pu 0.333 0.666 0.587
Pt1 Pt 0.000 0.000 0.500
Rh1 Rh 0.666 0.332 0.756
Rh2 Rh 0.334 0.668 0.244
```

Entry x
A relaxed Pu6PtRh2 crystal, computed with GGA-PBE.

```
data_Pu6PtRh2
_chemical_formula_sum 'Pu6 Pt1 Rh2'
_space_group_name_H-M_alt 'P 1'
_space_group_IT_number 1
_cell_length_a 2.726
_cell_length_b 7.951
_cell_length_c 7.951
_cell_angle_alpha 120.00
_cell_angle_beta 90.00
_cell_angle_gamma 90.00
loop_
_space_group_symop_operation_xyz
'x,y,z'
loop_
_atom_site_label
_atom_site_type_symbol
_atom_site_fract_x
_atom_site_fract_y
_atom_site_fract_z
Pu1 Pu 0.064 0.651 0.651
Pu2 Pu 0.064 0.000 0.349
Pu3 Pu 0.064 0.349 0.000
Pu4 Pu 0.936 0.349 0.349
Pu5 Pu 0.936 0.000 0.651
Pu6 Pu 0.936 0.651 0.000
Pt1 Pt 0.500 0.000 0.000
Rh1 Rh 0.500 0.667 0.333
Rh2 Rh 0.500 0.333 0.667
```

The relative energies come out as entry w 0.0; entry x 30.6, with values in kJ/mol of atoms.

Entry w
A relaxed Pu12PtRh6 crystal, computed with GGA-PBE.

```
data_Pu12PtRh6
_chemical_formula_sum 'Pu12 Pt1 Rh6'
_space_group_name_H-M_alt 'P 1'
_space_group_IT_number 1
_cell_length_a 7.880
_cell_length_b 8.232
_cell_length_c 8.232
_cell_angle_alpha 69.68
_cell_angle_beta 71.39
_cell_angle_gamma 108.61
loop_
_space_group_symop_operation_xyz
'x,y,z'
loop_
_atom_site_label
_atom_site_type_symbol
_atom_site_fract_x
_atom_site_fract_y
_atom_site_fract_z
Pu1 Pu 0.528 0.896 0.288
Pu2 Pu 0.632 0.816 0.896
Pu3 Pu 0.816 0.288 0.816
Pu4 Pu 0.472 0.104 0.712
Pu5 Pu 0.368 0.184 0.104
Pu6 Pu 0.184 0.712 0.184
Pu7 Pu 0.262 0.433 0.628
Pu8 Pu 0.110 0.372 0.061
Pu9 Pu 0.171 0.061 0.567
Pu10 Pu 0.738 0.567 0.372
Pu11 Pu 0.890 0.628 0.939
Pu12 Pu 0.829 0.939 0.433
Pt1 Pt 0.000 0.000 0.000
Rh1 Rh 0.413 0.473 0.247
Rh2 Rh 0.060 0.719 0.527
Rh3 Rh 0.341 0.753 0.719
Rh4 Rh 0.587 0.527 0.753
Rh5 Rh 0.940 0.281 0.473
Rh6 Rh 0.659 0.247 0.281
```

Entry x
A relaxed Pu12PtRh6 crystal, computed with GGA-PBE.

```
data_Pu12PtRh6
_chemical_formula_sum 'Pu12 Pt1 Rh6'
_space_group_name_H-M_alt 'P 1'
_space_group_IT_number 1
_cell_length_a 7.315
_cell_length_b 7.315
_cell_length_c 7.315
_cell_angle_alpha 95.04
_cell_angle_beta 95.04
_cell_angle_gamma 95.04
loop_
_space_group_symop_operation_xyz
'x,y,z'
loop_
_atom_site_label
_atom_site_type_symbol
_atom_site_fract_x
_atom_site_fract_y
_atom_site_fract_z
Pu1 Pu 0.823 0.531 0.406
Pu2 Pu 0.406 0.823 0.531
Pu3 Pu 0.531 0.406 0.823
Pu4 Pu 0.177 0.469 0.594
Pu5 Pu 0.594 0.177 0.469
Pu6 Pu 0.469 0.594 0.177
Pu7 Pu 0.082 0.154 0.397
Pu8 Pu 0.846 0.603 0.918
Pu9 Pu 0.603 0.918 0.846
Pu10 Pu 0.918 0.846 0.603
Pu11 Pu 0.154 0.397 0.082
Pu12 Pu 0.397 0.082 0.154
Pt1 Pt 0.000 0.000 0.000
Rh1 Rh 0.741 0.890 0.236
Rh2 Rh 0.764 0.259 0.110
Rh3 Rh 0.110 0.764 0.259
Rh4 Rh 0.259 0.110 0.764
Rh5 Rh 0.236 0.741 0.890
Rh6 Rh 0.890 0.236 0.741
```

The relative energies come out as entry w 3.7; entry x 0.0, with values in kJ/mol of atoms.